Record 1
First-principles (GGA-PBE) data for crystalline Mg2Ni6PN at its relaxed geometry, as listed in Alexandria via LeMat-Bulk.

Cell and atoms, written as POSCAR:
```
Mg2Ni6PN
1.0
-2.013 0.293 -4.750
-4.235 -4.245 1.533
-4.797 5.645 2.381
Mg Ni P N
4 12 2 2
Direct
0.000 0.291 0.212 Mg
0.500 0.709 0.288 Mg
0.000 0.291 0.788 Mg
0.500 0.709 0.712 Mg
0.500 0.166 0.260 Ni
0.763 0.989 0.500 Ni
0.246 0.405 0.500 Ni
0.263 0.011 0.000 Ni
0.000 0.834 0.760 Ni
0.254 0.595 0.000 Ni
0.737 0.011 0.000 Ni
0.000 0.834 0.240 Ni
0.237 0.989 0.500 Ni
0.754 0.405 0.500 Ni
0.746 0.595 0.000 Ni
0.500 0.166 0.740 Ni
0.500 0.311 0.000 P
0.000 0.689 0.500 P
0.000 0.806 0.000 N
0.500 0.194 0.500 N
```

Output
energy relative to the elements, uncorrected	-0.3119	eV/atom
space-group type	Pmmn (59)

Record 2
First-principles (GGA-PBE) data for crystalline CaRe2Tc at its relaxed geometry, as listed in Alexandria via LeMat-Bulk.

Cell and atoms, written as POSCAR:
```
CaRe2Tc
1.0
-4.414 6.224 -6.123
-6.193 4.027 -6.414
-6.550 5.871 -4.282
Re Tc Ca
2 1 1
Direct
0.992 0.992 0.992 Re
0.250 0.250 0.250 Re
0.509 0.509 0.509 Tc
0.750 0.750 0.750 Ca
```

Output
calculated formation energy	50.7	kJ/mol of atoms
energy above the most stable polymorph in this dataset	63	meV per atom
space-group type	R3m (160)

Record 3
First-principles (GGA-PBE) data for crystalline ZrTlCl at its relaxed geometry, as listed in Alexandria via LeMat-Bulk.

Cell and atoms, written as POSCAR:
```
ZrTlCl
1.0
-2.362 -0.901 7.134
-5.804 -2.144 4.359
4.871 -0.634 -5.758
Cl Tl Zr
1 1 1
Direct
0.045 0.045 0.000 Cl
0.303 0.303 0.000 Tl
0.652 0.652 0.000 Zr
```

Output
energy relative to the elements, uncorrected	-0.4863	eV/atom
energy above the most stable polymorph in this dataset	185	meV per atom
space-group type	I4mm (107)

Record 4
First-principles (GGA-PBE) data for crystalline Pa3BeOs5 at its relaxed geometry, as listed in Alexandria via LeMat-Bulk.

Cell and atoms, written as POSCAR:
```
Pa3BeOs5
1.0
3.510 0.000 0.000
0.000 6.261 -3.615
0.000 0.000 7.229
Pa Os Be
3 5 1
Direct
0.000 0.000 0.391 Pa
0.000 0.391 0.000 Pa
0.000 0.609 0.609 Pa
0.500 0.772 0.000 Os
0.500 0.333 0.667 Os
0.500 0.000 0.772 Os
0.500 0.667 0.333 Os
0.500 0.228 0.228 Os
0.000 0.000 0.000 Be
```

Output
calculated formation energy	-30.0	kJ/mol of atoms
space-group type	P-62m (189)

Record 5
First-principles (GGA-PBE) data for crystalline Sr2VCrC at its relaxed geometry, as listed in Alexandria via LeMat-Bulk.

Cell and atoms, written as POSCAR:
```
Sr2VCrC
1.0
-1.638 -4.436 2.880
-1.474 -1.620 -3.333
4.877 -2.434 -0.975
V Sr C Cr
1 2 1 1
Direct
0.000 0.500 0.000 V
0.000 0.000 0.500 Sr
0.500 0.000 0.000 Sr
0.000 0.000 0.000 C
0.500 0.500 0.500 Cr
```

Output
calculated formation energy	101.3	kJ/mol of atoms
space-group type	P4/mmm (123)

Record 6
First-principles (GGA-PBE) data for crystalline Lu4Ag2H at its relaxed geometry, as listed in Alexandria via LeMat-Bulk.

Cell and atoms, written as POSCAR:
```
Lu4Ag2H
1.0
4.601 0.000 0.000
0.000 4.601 0.000
-2.300 -2.300 7.406
Lu H Ag
4 1 2
Direct
0.820 0.820 0.640 Lu
0.500 0.000 0.000 Lu
0.000 0.500 0.000 Lu
0.180 0.180 0.360 Lu
0.000 0.000 0.000 H
0.629 0.629 0.258 Ag
0.371 0.371 0.742 Ag
```

Output
calculated total energy	-28.4	eV per cell
space-group type	I4/mmm (139)

Record 7
First-principles (GGA-PBE) data for crystalline La2MnSiN at its relaxed geometry, as listed in Alexandria via LeMat-Bulk.

Cell and atoms, written as POSCAR:
```
La2MnSiN
1.0
-1.866 -0.268 4.685
3.525 -2.034 1.288
2.151 4.431 1.110
La Si N Mn
2 1 1 1
Direct
0.500 0.000 0.000 La
0.000 0.000 0.500 La
0.000 0.500 0.000 Si
0.500 0.500 0.500 N
0.000 0.000 0.000 Mn
```

Output
energy relative to the elements, uncorrected	0.2517	eV/atom
energy above the most stable polymorph in this dataset	905	meV per atom
space-group type	P4/mmm (123)

Record 8
First-principles (GGA-PBE) data for crystalline MgPb3 at its relaxed geometry, as listed in Alexandria via LeMat-Bulk.

Cell and atoms, written as POSCAR:
```
MgPb3
1.0
6.778 0.000 0.000
0.000 5.664 0.000
0.000 0.000 6.101
Mg Pb
2 6
Direct
0.500 0.500 0.331 Mg
0.000 0.000 0.669 Mg
0.000 0.500 0.348 Pb
0.500 0.000 0.652 Pb
0.751 0.500 0.829 Pb
0.251 0.000 0.171 Pb
0.749 0.000 0.171 Pb
0.249 0.500 0.829 Pb
```

Output
calculated formation energy	1.7	kJ/mol of atoms
space-group type	Pmmn (59)

Record 9
First-principles (GGA-PBE) data for crystalline KMg2Cl at its relaxed geometry, as listed in Alexandria via LeMat-Bulk.

Cell and atoms, written as POSCAR:
```
KMg2Cl
1.0
-2.775 1.144 4.962
-5.137 0.006 2.693
-1.255 -5.693 4.161
Cl Mg K
1 2 1
Direct
0.431 0.431 0.468 Cl
0.050 0.050 0.920 Mg
0.819 0.819 0.789 Mg
0.200 0.200 0.324 K
```

Output
energy relative to the elements, uncorrected	-0.5287	eV/atom
energy above the most stable polymorph in this dataset	93	meV per atom
space-group type	Cm (8)

Record 10
First-principles (GGA-PBE) data for crystalline TePd6Au at its relaxed geometry, as listed in Alexandria via LeMat-Bulk.

Cell and atoms, written as POSCAR:
```
TePd6Au
1.0
6.606 0.236 0.185
3.507 6.615 0.199
3.434 2.381 3.345
Au Pd Te
1 6 1
Direct
0.000 0.000 0.000 Au
0.513 0.748 0.674 Pd
0.746 0.918 0.775 Pd
0.254 0.082 0.225 Pd
0.487 0.252 0.326 Pd
0.992 0.490 0.762 Pd
0.008 0.510 0.238 Pd
0.500 0.500 0.500 Te
```

Output
energy relative to the elements, uncorrected	-0.0767	eV/atom
energy above the most stable polymorph in this dataset	0	meV per atom
space-group type	P-1 (2)

Calculated DOS(E_F) (states/eV per atom), listed in the same order as above: 0.523; 0.688; 0.604; 1.049; 1.498; 1.051; 0.454; 0.577; 0.298; 0.611